Entry from OQMD: a geometry-optimized TmZr6Sn4 structure (PBE).

Lattice parameters (Å, degrees): 8.7310 8.7310 8.7310 40.87 40.87 40.87
Fractional coordinates of all 11 atoms:
1 Tm 0.0000 0.0000 0.0000
2 Zr 0.1070 0.6038 0.6038
3 Zr 0.3962 0.3962 0.8930
4 Zr 0.3962 0.8930 0.3962
5 Zr 0.6038 0.1070 0.6038
6 Zr 0.6038 0.6038 0.1070
7 Zr 0.8930 0.3962 0.3962
8 Sn 0.1232 0.1232 0.1232
9 Sn 0.3328 0.3328 0.3328
10 Sn 0.6672 0.6672 0.6672
11 Sn 0.8768 0.8768 0.8768

Values from the calculation:
DFT total energy in eV for the cell shown: -77.3
Total magnetic moment in μB/cell: 0.001
V in Å³/atom: 23.379